7
Lattice="-3.804 0.149 0.035 -2.113 -4.648 -2.885 -2.030 -4.129 4.032" Properties=species:S:1:pos:R:3 comment="PBE-GGA La2B2Ru2C, optimized geometry" space_group="C2/m, No. 12" vol_a3_per_atom=16.96 n_ef_per_ev_cell=3.72 formation_enthalpy_0k_ev_per_atom=-0.3794 energy_ev_per_atom=-7.6631 pbc="T T T"
La -3.931 -3.618 2.193
C 0.000 0.000 0.000
Ru -3.881 -1.689 -0.500
Ru -4.066 -6.940 1.682
La -4.015 -5.010 -1.011
B -5.938 -6.021 1.354
B -2.008 -2.608 -0.172